VASP calculation (PBE) on an optimized crystal structure of BHAuO2.

Unit cell a=4.1593 b=3.3664 c=4.1593 alpha=90.00 beta=90.00 gamma=90.00
With the nearest neighbours (Å) after each atom.
Fractional coordinates of all 5 atoms:
H1 0.0000 0.5000 0.0000  2 Au 1.68
B1 0.5000 0.5000 0.5000  8 O 2.68, 4 H 2.94
Au1 0.0000 0.0000 0.0000  2 H 1.68
O1 0.0000 0.0000 0.5000  2 Au 2.08
O2 0.5000 0.0000 0.0000  2 Au 2.08

Results
**Crystal system**: tetragonal
**Total moment**: 0.00 μB per cell
**Total energy**: -17.548 eV per cell
**Calculated density**: 6.87 g/cm3